# 1
Below is an optimized crystal structure of V2TePtN, with properties calculated at the PBE level.

- space-group type = P4/mmm, No. 123
- energy relative to the elements, uncorrected (meV per atom) = -28
- DOS(E_F) (states/eV per atom) = 1.00

Unit cell a=3.9136 b=3.9136 c=4.8906 alpha=90.00 beta=90.00 gamma=90.00
Fractional coordinates of all 5 atoms:
V (0.0000, 0.5000, 0.0000)
V (0.5000, 0.0000, 0.0000)
Te (0.0000, 0.0000, 0.5000)
Pt (0.5000, 0.5000, 0.5000)
N (0.0000, 0.0000, 0.0000)

# 2
Below is an optimized crystal structure of VTePtN2, with properties calculated at the PBE level.

- offset from the most stable computed form (eV per atom) = 0.000
- space-group type = P4/mmm, No. 123
- energy relative to the elements, uncorrected (meV per atom) = 513
- DOS(E_F) (states/eV per atom) = 0.71

Unit cell a=3.7575 b=3.7575 c=5.9512 alpha=90.00 beta=90.00 gamma=90.00
Fractional coordinates of all 5 atoms:
V (0.0000, 0.0000, 0.0000)
Te (0.0000, 0.0000, 0.5000)
Pt (0.5000, 0.5000, 0.5000)
N (0.0000, 0.5000, 0.0000)
N (0.5000, 0.0000, 0.0000)

# 3
Below is an optimized crystal structure of VTePtN2, with properties calculated at the PBE level.

- offset from the most stable computed form (eV per atom) = 0.663
- space-group type = P4/mmm, No. 123
- energy relative to the elements, uncorrected (meV per atom) = 1176
- DOS(E_F) (states/eV per atom) = 1.42

Unit cell a=3.7824 b=3.7824 c=8.3249 alpha=90.00 beta=90.00 gamma=90.00
Fractional coordinates of all 5 atoms:
V (0.0000, 0.0000, 0.0000)
Te (0.5000, 0.5000, 0.0000)
Pt (0.5000, 0.5000, 0.5000)
N (0.0000, 0.5000, 0.5000)
N (0.5000, 0.0000, 0.5000)

no.,M_tot (μB per formula unit),VASP energy (eV/atom),ρ (g cm⁻³)
1,0.000,-7.18,9.72
2,0.001,-6.48,7.94
3,2.883,-5.81,5.60